No. 1
## Pm8Er6Sc (GGA-PBE)

Data for crystalline Pm8Er6Sc at its relaxed geometry.

Output
SG: No. 147
Size of the total moment: 0.0 μB per formula unit
Total energy: -69.122 eV per cell
DFT formation energy: 0.17 eV per atom

Lattice parameters (Å, degrees): 6.4275 9.3720 9.3720 120.00 90.00 90.00
With the nearest neighbours (Å) after each atom.
Positions (direct):
1 Pm 0.8202 0.0417 0.2795  1 Sc 3.20, 3 Pm 3.29-3.37, 4 Er 3.31-3.57
2 Pm 0.8202 0.7205 0.7622  1 Sc 3.20, 3 Pm 3.29-3.37, 4 Er 3.31-3.57
3 Pm 0.8202 0.2378 0.9583  1 Sc 3.20, 3 Pm 3.29-3.37, 4 Er 3.31-3.57
4 Pm 0.1798 0.9583 0.7205  1 Sc 3.20, 3 Pm 3.29-3.37, 4 Er 3.31-3.57
5 Pm 0.1798 0.2795 0.2378  1 Sc 3.20, 3 Pm 3.29-3.37, 4 Er 3.31-3.57
6 Pm 0.1798 0.7622 0.0417  1 Sc 3.20, 3 Pm 3.29-3.37, 4 Er 3.31-3.57
7 Pm 0.8645 0.3333 0.6667  3 Pm 3.29
8 Pm 0.1355 0.6667 0.3333  3 Pm 3.29
9 Er 0.6663 0.6526 0.0962  1 Er 3.29, 5 Pm 3.31-3.63
10 Er 0.6663 0.9038 0.5564  1 Er 3.29, 5 Pm 3.31-3.63
11 Er 0.6663 0.4436 0.3474  1 Er 3.29, 5 Pm 3.31-3.63
12 Er 0.3337 0.3474 0.9038  1 Er 3.29, 5 Pm 3.31-3.63
13 Er 0.3337 0.0962 0.4436  1 Er 3.29, 5 Pm 3.31-3.63
14 Er 0.3337 0.5564 0.6526  1 Er 3.29, 5 Pm 3.31-3.63
15 Sc 0.5000 0.0000 0.0000  6 Pm 3.20


No. 2
## Pm3Er3Sc2 (GGA-PBE)

Data for crystalline Pm3Er3Sc2 at its relaxed geometry.

Output
SG: No. 47
Size of the total moment: 0.0 μB per formula unit
Total energy: -40.257 eV per cell
DFT formation energy: 0.04 eV per atom

Lattice parameters (Å, degrees): 4.9652 4.9952 9.7680 90.00 90.00 90.00
With the nearest neighbours (Å) after each atom.
Positions (direct):
1 Pm 0.0000 0.5000 0.5000  4 Er 3.50, 4 Sc 3.51, 4 Pm 3.52
2 Pm 0.5000 0.0000 0.0000  4 Sc 3.47, 8 Er 3.48-3.52
3 Pm 0.5000 0.0000 0.5000  4 Sc 3.50, 4 Er 3.51, 4 Pm 3.52
4 Er 0.5000 0.5000 0.2480  2 Er 3.47, 6 Pm 3.48-3.51, 4 Sc 3.52
5 Er 0.5000 0.5000 0.7520  2 Er 3.47, 6 Pm 3.48-3.51, 4 Sc 3.52
6 Er 0.0000 0.5000 0.0000  4 Er 3.47, 4 Sc 3.48, 4 Pm 3.52
7 Sc 0.0000 0.0000 0.2478  6 Pm 3.47-3.51, 6 Er 3.48-3.52
8 Sc 0.0000 0.0000 0.7522  6 Pm 3.47-3.51, 6 Er 3.48-3.52


No. 3
## Pm6Er3Sc2 (GGA-PBE)

Data for crystalline Pm6Er3Sc2 at its relaxed geometry.

Output
SG: No. 2
Size of the total moment: 0.0 μB per formula unit
Total energy: -53.811 eV per cell
DFT formation energy: 0.09 eV per atom

Lattice parameters (Å, degrees): 6.7388 6.0919 11.7059 103.48 55.53 117.54
With the nearest neighbours (Å) after each atom.
Positions (direct):
1 Pm 0.9329 0.5162 0.1755  4 Er 3.40-3.69, 5 Pm 3.40-3.74, 3 Sc 3.41-3.65
2 Pm 0.3738 0.9079 0.2678  2 Sc 3.31-3.63, 5 Pm 3.40-3.67, 4 Er 3.41-3.70
3 Pm 0.0671 0.4838 0.8245  4 Er 3.40-3.69, 5 Pm 3.40-3.74, 3 Sc 3.41-3.65
4 Pm 0.6262 0.0921 0.7322  2 Sc 3.31-3.63, 5 Pm 3.40-3.67, 4 Er 3.41-3.70
5 Pm 0.2753 0.4408 0.4511  4 Er 3.47-3.59, 1 Sc 3.51, 7 Pm 3.54-3.74
6 Pm 0.7247 0.5592 0.5489  4 Er 3.47-3.59, 1 Sc 3.51, 7 Pm 3.54-3.74
7 Er 0.0000 0.0000 0.0000  6 Pm 3.40-3.69, 2 Sc 3.45, 2 Er 3.70
8 Er 0.1836 0.9726 0.6348  1 Sc 3.37, 9 Pm 3.47-3.70, 2 Er 3.49-3.70
9 Er 0.8164 0.0274 0.3652  1 Sc 3.37, 9 Pm 3.47-3.70, 2 Er 3.49-3.70
10 Sc 0.5594 0.6597 0.8939  1 Sc 3.03, 1 Pm 3.31, 1 Er 3.37
11 Sc 0.4406 0.3403 0.1061  1 Sc 3.03, 1 Pm 3.31, 1 Er 3.37


No. 4
## PmEr12Sc2 (GGA-PBE)

Data for crystalline PmEr12Sc2 at its relaxed geometry.

Output
SG: No. 65
Size of the total moment: 0.0 μB per formula unit
Total energy: -141.665 eV per cell
DFT formation energy: 0.09 eV per atom

Lattice parameters (Å, degrees): 6.5972 6.5972 24.7417 78.82 101.18 65.26
With the nearest neighbours (Å) after each atom.
Positions (direct):
1 Pm 0.5000 0.0000 0.0000  2 Pm 3.56, 12 Er 3.66-3.96
2 Pm 0.0000 0.5000 0.0000  2 Pm 3.56, 12 Er 3.66-3.96
3 Er 0.5051 0.4949 0.8043  10 Er 3.40-3.56, 2 Sc 3.47
4 Er 0.0051 0.9949 0.8043  10 Er 3.40-3.56, 2 Sc 3.47
5 Er 0.5580 0.9420 0.8466  8 Er 3.40-3.56, 2 Sc 3.54
6 Er 0.4142 0.5858 0.9311  7 Er 3.18-3.56
7 Er 0.9019 0.0981 0.3213  8 Er 3.31-3.60, 4 Sc 3.40
8 Er 0.0858 0.9142 0.0689  7 Er 3.18-3.56
9 Er 0.6969 0.3031 0.5578  10 Er 3.20-3.56
10 Er 0.4019 0.5981 0.3213  8 Er 3.31-3.60, 4 Sc 3.40
11 Er 0.0580 0.4420 0.8466  8 Er 3.40-3.56, 2 Sc 3.54
12 Er 0.9420 0.5580 0.1534  8 Er 3.40-3.56, 2 Sc 3.54
13 Er 0.2240 0.2760 0.5796  8 Er 3.34-3.60, 2 Sc 3.58
14 Er 0.8031 0.1969 0.4422  10 Er 3.20-3.56
15 Er 0.0981 0.9019 0.6787  8 Er 3.31-3.60, 4 Sc 3.40
16 Er 0.2760 0.2240 0.4204  8 Er 3.34-3.60, 2 Sc 3.58
17 Er 0.4420 0.0580 0.1534  8 Er 3.40-3.56, 2 Sc 3.54
18 Er 0.7760 0.7240 0.4204  8 Er 3.34-3.60, 2 Sc 3.58
19 Er 0.7240 0.7760 0.5796  8 Er 3.34-3.60, 2 Sc 3.58
20 Er 0.9949 0.0051 0.1957  10 Er 3.40-3.56, 2 Sc 3.47
21 Er 0.1969 0.8031 0.5578  10 Er 3.20-3.56
22 Er 0.5981 0.4019 0.6787  8 Er 3.31-3.60, 4 Sc 3.40
23 Er 0.9142 0.0858 0.9311  7 Er 3.18-3.56
24 Er 0.4949 0.5051 0.1957  10 Er 3.40-3.56, 2 Sc 3.47
25 Er 0.3031 0.6969 0.4422  10 Er 3.20-3.56
26 Er 0.5858 0.4142 0.0689  7 Er 3.18-3.56
27 Sc 0.3575 0.1425 0.2858  10 Er 3.40-3.58, 2 Sc 3.56
28 Sc 0.8575 0.6425 0.2858  10 Er 3.40-3.58, 2 Sc 3.56
29 Sc 0.1425 0.3575 0.7142  10 Er 3.40-3.58, 2 Sc 3.56
30 Sc 0.6425 0.8575 0.7142  10 Er 3.40-3.58, 2 Sc 3.56


No. 5
## Pm2ErSc (GGA-PBE)

Data for crystalline Pm2ErSc at its relaxed geometry.

Output
SG: No. 123
Size of the total moment: 0.0 μB per formula unit
Total energy: -20.238 eV per cell
DFT formation energy: 0.04 eV per atom

Lattice parameters (Å, degrees): 3.5809 3.5809 9.5954 90.00 90.00 90.00
With the nearest neighbours (Å) after each atom.
Positions (direct):
1 Sc 0.5000 0.5000 0.0000  8 Pm 3.42, 4 Sc 3.58
2 Pm 0.0000 0.0000 0.7604  4 Sc 3.42, 4 Er 3.56, 4 Pm 3.58
3 Pm 0.0000 0.0000 0.2396  4 Sc 3.42, 4 Er 3.56, 4 Pm 3.58
4 Er 0.5000 0.5000 0.5000  8 Pm 3.56, 4 Er 3.58


No. 6
## Pm3Er4Sc (GGA-PBE)

Data for crystalline Pm3Er4Sc at its relaxed geometry.

Output
SG: No. 2
Size of the total moment: 0.0 μB per formula unit
Total energy: -37.768 eV per cell
DFT formation energy: 0.13 eV per atom

Lattice parameters (Å, degrees): 3.4663 11.5383 8.7217 131.41 100.34 89.91
With the nearest neighbours (Å) after each atom.
Positions (direct):
1 Sc 0.5000 0.0000 0.0000  4 Er 3.27, 4 Pm 3.47-3.56, 2 Sc 3.47
2 Er 0.6511 0.3759 0.2673  1 Sc 3.27, 3 Pm 3.38-3.56, 5 Er 3.40-3.47
3 Er 0.3489 0.6241 0.7327  1 Sc 3.27, 3 Pm 3.38-3.56, 5 Er 3.40-3.47
4 Er 0.3495 0.1081 0.7325  1 Sc 3.27, 3 Pm 3.38-3.56, 5 Er 3.40-3.47
5 Er 0.6505 0.8919 0.2675  1 Sc 3.27, 3 Pm 3.38-3.56, 5 Er 3.40-3.47
6 Pm 0.0000 0.5000 0.0000  6 Pm 3.47-3.77, 4 Er 3.79
7 Pm 0.7565 0.7597 0.5193  6 Er 3.38-3.56, 2 Sc 3.47-3.56, 4 Pm 3.47-3.77
8 Pm 0.2435 0.2403 0.4807  6 Er 3.38-3.56, 2 Sc 3.47-3.56, 4 Pm 3.47-3.77


No. 7
## PmEr5Sc5 (GGA-PBE)

Data for crystalline PmEr5Sc5 at its relaxed geometry.

Output
SG: No. 187
Size of the total moment: 2.6 μB per formula unit
Total energy: -56.556 eV per cell
DFT formation energy: 0.24 eV per atom

Lattice parameters (Å, degrees): 5.7737 5.7737 11.2541 90.00 90.00 120.00
With the nearest neighbours (Å) after each atom.
Positions (direct):
1 Pm 0.3333 0.6667 0.0000  5 Er 3.33-3.64
2 Er 0.6667 0.3333 0.1622  3 Sc 3.54, 7 Er 3.65-3.80, 3 Pm 3.80
3 Er 0.6667 0.3333 0.8378  3 Sc 3.54, 7 Er 3.65-3.80, 3 Pm 3.80
4 Er 0.3333 0.6667 0.3232  9 Sc 3.39-3.51, 1 Pm 3.64, 3 Er 3.79
5 Er 0.3333 0.6667 0.6768  9 Sc 3.39-3.51, 1 Pm 3.64, 3 Er 3.79
6 Er 0.0000 0.0000 0.0000  2 Sc 3.03, 3 Pm 3.33
7 Sc 0.3294 0.1647 0.5000  6 Sc 2.85-3.08
8 Sc 0.0000 0.0000 0.2688  1 Er 3.03, 3 Sc 3.08
9 Sc 0.8353 0.6706 0.5000  6 Sc 2.85-3.08
10 Sc 0.8353 0.1647 0.5000  6 Sc 2.85-3.08
11 Sc 0.0000 0.0000 0.7312  1 Er 3.03, 3 Sc 3.08


No. 8
## Pm2Er3Sc (GGA-PBE)

Data for crystalline Pm2Er3Sc at its relaxed geometry.

Output
SG: No. 12
Size of the total moment: 0.0 μB per formula unit
Total energy: -57.281 eV per cell
DFT formation energy: 0.15 eV per atom

Lattice parameters (Å, degrees): 3.4379 8.9156 12.8045 78.26 82.28 78.88
With the nearest neighbours (Å) after each atom.
Positions (direct):
1 Pm 0.8210 0.4812 0.8768  5 Er 3.30-3.48, 4 Pm 3.44-3.64, 2 Sc 3.44
2 Pm 0.1790 0.5188 0.1232  5 Er 3.30-3.48, 4 Pm 3.44-3.64, 2 Sc 3.44
3 Pm 0.6534 0.1620 0.5312  2 Sc 3.38-3.43, 5 Er 3.42-3.65, 4 Pm 3.44-3.53
4 Pm 0.3466 0.8380 0.4688  2 Sc 3.38-3.43, 5 Er 3.42-3.65, 4 Pm 3.44-3.53
5 Er 0.0379 0.1368 0.7875  3 Pm 3.41-3.65, 8 Er 3.44-3.67, 2 Sc 3.70
6 Er 0.9621 0.8632 0.2125  3 Pm 3.41-3.65, 8 Er 3.44-3.67, 2 Sc 3.70
7 Er 0.5990 0.8289 0.9732  6 Er 3.19-3.55, 3 Pm 3.47-3.48
8 Er 0.4010 0.1711 0.0268  6 Er 3.19-3.55, 3 Pm 3.47-3.48
9 Er 0.7395 0.8146 0.7064  4 Pm 3.30-3.44, 5 Er 3.41-3.61, 2 Sc 3.57
10 Er 0.2605 0.1854 0.2936  4 Pm 3.30-3.44, 5 Er 3.41-3.61, 2 Sc 3.57
11 Sc 0.4365 0.4860 0.6410  4 Pm 3.38-3.44, 3 Sc 3.44-3.54, 4 Er 3.57-3.70
12 Sc 0.5635 0.5140 0.3590  4 Pm 3.38-3.44, 3 Sc 3.44-3.54, 4 Er 3.57-3.70


| no. | theoretical density (g cm⁻³) |
| --- | --- |
| 1 | 7.50 |
| 2 | 7.04 |
| 3 | 6.92 |
| 4 | 8.16 |
| 5 | 6.78 |
| 6 | 7.51 |
| 7 | 6.16 |
| 8 | 7.41 |